VASP calculation (PBE) on an optimized crystal structure of BaSb2Pb.

* formation energy from raw total energies: -0.455 eV/atom

Cell: 6.1277 6.1277 5.6836 Å, 73.10 73.10 43.42°
Last column: nearest neighbours and their distance in Å.
Fractional positions:
Ba  0.5019  0.5019  0.4918  8 Sb 3.57-3.82, 4 Pb 3.58-3.98
Pb  0.2721  0.2721  0.1820  4 Sb 3.09-3.30
Sb  0.9915  0.9915  0.9832  3 Sb 3.27-3.47, 2 Pb 3.30, 2 Ba 3.57
Sb  0.7345  0.7345  0.8430  2 Pb 3.09, 1 Sb 3.27

---

VASP calculation (PBE) on an optimized crystal structure of PrTmMnHg.

* calculated formation energy: -48.3 meV per atom

Cell: 5.2252 5.2252 5.2252 Å, 60.00 60.00 60.00°
Last column: nearest neighbours and their distance in Å.
Fractional positions:
Pr  0.7500  0.7500  0.7500  4 Hg 3.20, 4 Mn 3.20
Tm  0.2500  0.2500  0.2500  4 Hg 3.20, 4 Mn 3.20
Hg  0.5000  0.5000  0.5000  4 Pr 3.20, 4 Tm 3.20
Mn  0.0000  0.0000  0.0000  4 Pr 3.20, 4 Tm 3.20

---

Number 1: E -0.2884 Ry per atom, magnetization 0.00 μB/atom. Number 2: E -0.3476 Ry per atom, magnetization 0.79 μB/atom.